Density functional theory data (PBE-GGA) for a relaxed ErScZn3 crystal.

a b c (Å): 4.3657 5.4378 8.7580
angles (deg): 102.45 104.43 90.00
Sites, in units of the cell vectors:
Er (0.4278, 0.6959, 0.8557)
Er (0.5722, 0.3041, 0.1443)
Sc (0.2232, 0.6773, 0.4463)
Sc (0.7768, 0.3227, 0.5537)
Zn (0.9478, 0.2492, 0.8957)
Zn (0.0522, 0.7508, 0.1043)
Zn (0.6455, 0.8530, 0.2910)
Zn (0.3545, 0.1470, 0.7090)
Zn (0.8260, 0.8513, 0.6520)
Zn (0.1740, 0.1487, 0.3480)

Properties
The total magnetization is 0.00 μB/f.u. The calculation puts the final energy at -32.4 eV/cell. Its space-group type is No. 12.